(1)
Entry from Alexandria: a relaxed structure of AcDyNiAu (PBE).

Computed properties:
space group: F-43m, No. 216
N(E_F): 3.46 states/eV/f.u.
uncorrected energy: -4.878 eV/atom
density: 10.792 g/cm³
energy of formation: -0.436 eV per atom

Cell lengths 7.350, 7.350, 7.350 Å; angles 90.00, 90.00, 90.00 degrees
Fractional coordinates of all 16 atoms:
Ac  0.000  0.000  0.000
Ac  0.000  0.500  0.500
Ac  0.500  0.000  0.500
Ac  0.500  0.500  0.000
Dy  0.000  0.000  0.500
Dy  0.000  0.500  0.000
Dy  0.500  0.000  0.000
Dy  0.500  0.500  0.500
Ni  0.250  0.250  0.750
Ni  0.250  0.750  0.250
Ni  0.750  0.250  0.250
Ni  0.750  0.750  0.750
Au  0.250  0.250  0.250
Au  0.250  0.750  0.750
Au  0.750  0.250  0.750
Au  0.750  0.750  0.250


(2)
Entry from Alexandria: a relaxed structure of Cd2NiCl (PBE).

Computed properties:
space group: Pm, No. 6
N(E_F): 1.59 states/eV/f.u.
distance to the lowest polymorph of the same formula: 0.262 eV per formula unit
uncorrected energy: -2.481 eV/atom
formation energy without anion corrections: -0.116 eV/atom
density: 6.159 g/cm³

Cell lengths 3.165, 3.428, 8.075 Å; angles 90.00, 101.00, 90.00 degrees
Fractional coordinates of all 4 atoms:
Cd  0.000  0.000  0.000
Cd  0.209  0.500  0.428
Ni  0.579  0.500  0.162
Cl  0.825  0.000  0.646


Which of these has the lowest uncorrected energy? AcDyNiAu


The lowest N(E_F) belongs to which entry? Cd2NiCl


What did the second record say?
Entry from Alexandria: a relaxed structure of Cd2NiCl (PBE).

Computed properties:
space group: Pm, No. 6
N(E_F): 1.59 states/eV/f.u.
distance to the lowest polymorph of the same formula: 0.262 eV per formula unit
uncorrected energy: -2.481 eV/atom
formation energy without anion corrections: -0.116 eV/atom
density: 6.159 g/cm³

Cell lengths 3.165, 3.428, 8.075 Å; angles 90.00, 101.00, 90.00 degrees
Fractional coordinates of all 4 atoms:
Cd  0.000  0.000  0.000
Cd  0.209  0.500  0.428
Ni  0.579  0.500  0.162
Cl  0.825  0.000  0.646